(1)
# MgSiPb2

A relaxed structure of MgSiPb2 (PBE, Alexandria via LeMat-Bulk).

a b c (Å): 3.551 3.940 7.213
angles (deg): 90.00 90.00 90.00
Fractional positions:
Mg 0.000 0.000 0.000
Si 0.000 0.000 0.500
Pb 0.500 0.500 0.267
Pb 0.500 0.500 0.733

Total energy ... -13.36 eV/cell
Polymorph energy (0 for the lowest one) ... 126 meV per atom
Formation energy without anion corrections ... 0.27 eV per atom



(2)
# MgSiPb2

A relaxed structure of MgSiPb2 (PBE, Alexandria via LeMat-Bulk).

a b c (Å): 5.251 5.251 5.251
angles (deg): 60.00 60.00 60.00
Fractional positions:
Mg 0.000 0.000 0.000
Si 0.250 0.250 0.250
Pb 0.500 0.500 0.500
Pb 0.750 0.750 0.750

Total energy ... -13.17 eV/cell
Polymorph energy (0 for the lowest one) ... 174 meV per atom
Formation energy without anion corrections ... 0.32 eV per atom



(3)
# MgSiPb2

A relaxed structure of MgSiPb2 (PBE, Alexandria via LeMat-Bulk).

a b c (Å): 6.336 6.336 6.336
angles (deg): 148.91 128.62 61.28
Fractional positions:
Mg 0.000 0.000 0.000
Si 0.797 0.297 0.500
Pb 0.271 0.771 0.500
Pb 0.568 0.568 0.000

Total energy ... -13.56 eV/cell
Polymorph energy (0 for the lowest one) ... 75 meV per atom
Formation energy without anion corrections ... 0.22 eV per atom



(4)
# MgSi2Pb

A relaxed structure of MgSi2Pb (PBE, Alexandria via LeMat-Bulk).

a b c (Å): 4.885 4.885 5.721
angles (deg): 103.76 103.76 43.68
Fractional positions:
Mg 0.000 0.000 0.000
Si 0.257 0.257 0.858
Si 0.743 0.743 0.142
Pb 0.500 0.500 0.500

Total energy ... -15.21 eV/cell
Polymorph energy (0 for the lowest one) ... 11 meV per atom
Formation energy without anion corrections ... 0.23 eV per atom



(5)
# MgSi2Pb

A relaxed structure of MgSi2Pb (PBE, Alexandria via LeMat-Bulk).

a b c (Å): 4.845 4.845 3.781
angles (deg): 90.83 90.83 106.37
Fractional positions:
Mg 0.000 0.000 0.000
Si 0.000 0.500 0.500
Si 0.500 0.000 0.500
Pb 0.500 0.500 0.000

Total energy ... -14.54 eV/cell
Polymorph energy (0 for the lowest one) ... 180 meV per atom
Formation energy without anion corrections ... 0.40 eV per atom



(6)
# MgSiPb2

A relaxed structure of MgSiPb2 (PBE, Alexandria via LeMat-Bulk).

a b c (Å): 5.527 5.527 5.493
angles (deg): 104.59 104.59 39.33
Fractional positions:
Mg 0.000 0.000 0.000
Si 0.500 0.500 0.500
Pb 0.234 0.234 0.739
Pb 0.766 0.766 0.261

Total energy ... -13.31 eV/cell
Polymorph energy (0 for the lowest one) ... 139 meV per atom
Formation energy without anion corrections ... 0.28 eV per atom



(7)
# MgSi2Pb

A relaxed structure of MgSi2Pb (PBE, Alexandria via LeMat-Bulk).

a b c (Å): 8.588 8.588 8.588
angles (deg): 23.61 23.61 23.61
Fractional positions:
Mg 0.000 0.000 0.000
Si 0.257 0.257 0.257
Si 0.743 0.743 0.743
Pb 0.500 0.500 0.500

Total energy ... -14.25 eV/cell
Polymorph energy (0 for the lowest one) ... 251 meV per atom
Formation energy without anion corrections ... 0.47 eV per atom



(8)
# MgSi2Pb

A relaxed structure of MgSi2Pb (PBE, Alexandria via LeMat-Bulk).

a b c (Å): 4.976 4.976 5.767
angles (deg): 112.28 112.28 43.48
Fractional positions:
Mg 0.000 0.000 0.000
Si 0.384 0.384 0.363
Si 0.739 0.739 0.102
Pb 0.183 0.183 0.637

Total energy ... -15.14 eV/cell
Polymorph energy (0 for the lowest one) ... 29 meV per atom
Formation energy without anion corrections ... 0.25 eV per atom



(9)
# Mg2SiPb

A relaxed structure of Mg2SiPb (PBE, Alexandria via LeMat-Bulk).

a b c (Å): 4.544 4.544 4.276
angles (deg): 90.00 90.00 90.00
Fractional positions:
Mg 0.000 0.500 0.000
Mg 0.500 0.000 0.000
Si 0.000 0.000 0.500
Pb 0.500 0.500 0.500

Total energy ... -11.88 eV/cell
Polymorph energy (0 for the lowest one) ... 45 meV per atom
Formation energy without anion corrections ... 0.11 eV per atom



(10)
# Mg2SiPb2

A relaxed structure of Mg2SiPb2 (PBE, Alexandria via LeMat-Bulk).

a b c (Å): 7.126 7.126 4.954
angles (deg): 90.00 90.00 90.00
Fractional positions:
Mg 0.151 0.349 0.000
Mg 0.349 0.849 0.000
Mg 0.651 0.151 0.000
Mg 0.849 0.651 0.000
Si 0.000 0.000 0.000
Si 0.500 0.500 0.000
Pb 0.165 0.665 0.500
Pb 0.335 0.165 0.500
Pb 0.665 0.835 0.500
Pb 0.835 0.335 0.500

Total energy ... -30.49 eV/cell
Polymorph energy (0 for the lowest one) ... 0 meV per atom
Formation energy without anion corrections ... 0.16 eV per atom



(11)
# MgSiPb2

A relaxed structure of MgSiPb2 (PBE, Alexandria via LeMat-Bulk).

a b c (Å): 3.544 3.544 7.997
angles (deg): 90.00 90.00 90.00
Fractional positions:
Mg 0.000 0.000 0.000
Si 0.500 0.500 0.831
Pb 0.000 0.000 0.597
Pb 0.500 0.500 0.260

Total energy ... -13.81 eV/cell
Polymorph energy (0 for the lowest one) ... 14 meV per atom
Formation energy without anion corrections ... 0.16 eV per atom



(12)
# Mg2SiPb2

A relaxed structure of Mg2SiPb2 (PBE, Alexandria via LeMat-Bulk).

a b c (Å): 8.740 8.740 8.740
angles (deg): 153.34 153.34 38.05
Fractional positions:
Mg 0.250 0.750 0.500
Mg 0.750 0.250 0.500
Si 0.000 0.000 0.000
Pb 0.405 0.405 0.000
Pb 0.595 0.595 0.000

Total energy ... -13.99 eV/cell
Polymorph energy (0 for the lowest one) ... 252 meV per atom
Formation energy without anion corrections ... 0.41 eV per atom



(13)
# MgSi2Pb2

A relaxed structure of MgSi2Pb2 (PBE, Alexandria via LeMat-Bulk).

a b c (Å): 10.047 10.047 10.047
angles (deg): 159.96 159.96 28.48
Fractional positions:
Mg 0.000 0.000 0.000
Si 0.250 0.750 0.500
Si 0.750 0.250 0.500
Pb 0.390 0.390 0.000
Pb 0.610 0.610 0.000

Total energy ... -18.81 eV/cell
Formation energy without anion corrections ... 0.21 eV per atom



(14)
# Mg2SiPb

A relaxed structure of Mg2SiPb (PBE, Alexandria via LeMat-Bulk).

a b c (Å): 5.094 5.094 5.094
angles (deg): 60.00 60.00 60.00
Fractional positions:
Mg 0.000 0.000 0.000
Mg 0.250 0.250 0.250
Si 0.750 0.750 0.750
Pb 0.500 0.500 0.500

Total energy ... -11.37 eV/cell
Polymorph energy (0 for the lowest one) ... 172 meV per atom
Formation energy without anion corrections ... 0.24 eV per atom



(15)
# MgSi2Pb2

A relaxed structure of MgSi2Pb2 (PBE, Alexandria via LeMat-Bulk).

a b c (Å): 7.118 7.118 4.745
angles (deg): 90.00 90.00 90.00
Fractional positions:
Mg 0.000 0.000 0.000
Mg 0.500 0.500 0.000
Si 0.117 0.383 0.000
Si 0.383 0.883 0.000
Si 0.617 0.117 0.000
Si 0.883 0.617 0.000
Pb 0.184 0.684 0.500
Pb 0.316 0.184 0.500
Pb 0.684 0.816 0.500
Pb 0.816 0.316 0.500

Total energy ... -37.63 eV/cell
Formation energy without anion corrections ... 0.21 eV per atom



(16)
# MgSi2Pb

A relaxed structure of MgSi2Pb (PBE, Alexandria via LeMat-Bulk).

a b c (Å): 5.384 5.384 5.384
angles (deg): 134.10 129.93 70.26
Fractional positions:
Mg 0.000 0.000 0.000
Si 0.246 0.746 0.500
Si 0.754 0.254 0.500
Pb 0.500 0.500 0.000

Total energy ... -14.49 eV/cell
Polymorph energy (0 for the lowest one) ... 192 meV per atom
Formation energy without anion corrections ... 0.41 eV per atom



(17)
# MgSi2Pb

A relaxed structure of MgSi2Pb (PBE, Alexandria via LeMat-Bulk).

a b c (Å): 7.191 7.191 7.191
angles (deg): 126.17 126.17 79.61
Fractional positions:
Mg 0.000 0.000 0.000
Mg 0.750 0.250 0.500
Si 0.122 0.625 0.997
Si 0.375 0.372 0.497
Si 0.628 0.125 0.003
Si 0.875 0.878 0.503
Pb 0.250 0.750 0.500
Pb 0.500 0.500 0.000

Total energy ... -27.30 eV/cell
Polymorph energy (0 for the lowest one) ... 401 meV per atom
Formation energy without anion corrections ... 0.62 eV per atom



(18)
# Mg2SiPb

A relaxed structure of Mg2SiPb (PBE, Alexandria via LeMat-Bulk).

a b c (Å): 3.300 4.225 6.531
angles (deg): 90.00 90.00 90.00
Fractional positions:
Mg 0.000 0.000 0.000
Mg 0.500 0.500 0.269
Si 0.500 0.500 0.840
Pb 0.000 0.000 0.534

Total energy ... -11.75 eV/cell
Polymorph energy (0 for the lowest one) ... 79 meV per atom
Formation energy without anion corrections ... 0.14 eV per atom



(19)
# MgSi2Pb

A relaxed structure of MgSi2Pb (PBE, Alexandria via LeMat-Bulk).

a b c (Å): 5.513 5.513 5.513
angles (deg): 134.28 134.28 66.65
Fractional positions:
Mg 0.000 0.000 0.000
Si 0.500 0.500 0.000
Si 0.750 0.250 0.500
Pb 0.250 0.750 0.500

Total energy ... -14.46 eV/cell
Polymorph energy (0 for the lowest one) ... 200 meV per atom
Formation energy without anion corrections ... 0.42 eV per atom



(20)
# MgSi4Pb

A relaxed structure of MgSi4Pb (PBE, Alexandria via LeMat-Bulk).

a b c (Å): 5.399 5.399 5.399
angles (deg): 60.00 60.00 60.00
Fractional positions:
Mg 0.000 0.000 0.000
Si 0.371 0.371 0.371
Si 0.371 0.371 0.886
Si 0.371 0.886 0.371
Si 0.886 0.371 0.371
Pb 0.750 0.750 0.750

Total energy ... -24.67 eV/cell
Formation energy without anion corrections ... 0.39 eV per atom



| no. | total moment (Bohr magnetons per cell) |
| --- | --- |
| 1 | 0.00 |
| 2 | 0.00 |
| 3 | 0.00 |
| 4 | 0.00 |
| 5 | 0.00 |
| 6 | 0.00 |
| 7 | 0.00 |
| 8 | 0.00 |
| 9 | 0.00 |
| 10 | 0.00 |
| 11 | 0.00 |
| 12 | 0.00 |
| 13 | 0.00 |
| 14 | 0.00 |
| 15 | 0.00 |
| 16 | 0.00 |
| 17 | 0.00 |
| 18 | 0.00 |
| 19 | 0.00 |
| 20 | 0.00 |